(1)
CeNd8Dy4: optimized geometry, GGA-PBE.

## Properties
mass density	6.870	Mg/m³
DFT total energy	-4.38	eV/atom
calculated formation energy	0.43	eV per atom

a = 11.8537 Å, b = 11.8538 Å, c = 7.8580 Å
α = 90.00°, β = 138.96°, γ = 120.00°
Each line ends with the local moment (μB).
Element x y z (fractional)
Ce: 0.0000 0.5000 0.5000  0.54
Nd: 0.5054 0.7527 0.2580  0.04
Nd: 0.4946 0.2473 0.7420  0.04
Nd: 0.3367 0.1684 0.0067  0.01
Nd: 0.1617 0.3300 0.9933  0.01
Nd: 0.6633 0.8316 0.9933  0.01
Nd: 0.1616 0.8316 0.9932  0.01
Nd: 0.8384 0.1684 0.0068  0.01
Nd: 0.8383 0.6700 0.0067  0.01
Dy: 0.0000 0.0000 0.0000  0.02
Dy: 0.0000 0.5000 0.0000  0.03
Dy: 0.5000 0.5000 0.0000  0.03
Dy: 0.5000 0.0000 0.0000  0.03

---

(2)
MgTe2Os: optimized geometry, GGA-PBE.

## Properties
mass density	8.276	Mg/m³
DFT total energy	-4.70	eV/atom
energy relative to the elements, uncorrected	0.073	eV per atom

a = 4.0792 Å, b = 4.0792 Å, c = 6.9481 Å
α = 72.96°, β = 72.96°, γ = 60.03°
Element x y z (fractional)
Mg: 0.7500 0.7500 0.7500
Os: 0.2500 0.2500 0.2500
Te: 0.9848 0.9848 0.0449
Te: 0.5152 0.5152 0.4551

---

(3)
Cd2AgCl: optimized geometry, GGA-PBE.

## Properties
mass density	6.873	Mg/m³
DFT total energy	-1.79	eV/atom
energy relative to the elements, uncorrected	-0.161	eV per atom

a = 5.8314 Å, b = 5.8314 Å, c = 5.8314 Å
α = 147.43°, β = 122.43°, γ = 67.73°
Element x y z (fractional)
Cl: 0.4945 0.4945 0.0000
Ag: 0.2492 0.7492 0.5000
Cd: 0.0091 0.0091 0.0000
Cd: 0.7473 0.2473 0.5000